First-principles (PBE-GGA) data for CsLiPmF6 after structural relaxation, as listed in Alexandria via LeMat-Bulk.

Calculated values
Calculated volume (Å³ per cell): 300
Space group: Imma, No. 74

abc: 7.8645 7.8860 7.3804
angles: 122.29 122.19 90.00
Closest atoms and distances in Å follow each position.
Fractional coordinates of all 18 atoms:
1 Pm 0.0000 0.0000 0.5000  8 F 2.31-2.47
2 Pm 0.5000 0.0000 0.5000  8 F 2.31-2.47
3 Cs 0.1747 0.4247 0.3494  9 F 2.91-3.15
4 Cs 0.8253 0.5753 0.6506  9 F 2.91-3.15
5 F 0.4203 0.6199 0.2575  1 Li 2.06
6 F 0.1627 0.3801 0.7425  1 Li 2.06
7 F 0.5797 0.3801 0.7425  1 Li 2.06
8 F 0.1252 0.8752 0.2505  2 Pm 2.31
9 F 0.1627 0.8624 0.7425  1 Li 2.06
10 F 0.5959 0.8459 0.1918  2 Li 2.18
11 F 0.8373 0.1376 0.2575  1 Li 2.06
12 F 0.8373 0.6199 0.2575  1 Li 2.06
13 F 0.4203 0.1376 0.2575  1 Li 2.06
14 F 0.4041 0.1541 0.8082  2 Li 2.18
15 F 0.8748 0.1248 0.7495  2 Pm 2.31
16 F 0.5797 0.8624 0.7425  1 Li 2.06
17 Li 0.5000 0.5000 0.0000  6 F 2.06-2.18
18 Li 0.5000 0.0000 0.0000  6 F 2.06-2.18

First-principles (PBE-GGA) data for BeTe2I after structural relaxation, as listed in Alexandria via LeMat-Bulk.

Calculated values
Calculated volume (Å³ per cell): 106
Space group: R-3m, No. 166

abc: 8.0478 8.0478 8.0478
angles: 28.66 28.66 28.66
Closest atoms and distances in Å follow each position.
Fractional coordinates of all 4 atoms:
1 Be 0.5000 0.5000 0.5000  6 Te 2.65
2 Te 0.7766 0.7766 0.7766  3 Be 2.65
3 Te 0.2234 0.2234 0.2234  3 Be 2.65
4 I 0.0000 0.0000 0.0000  6 Te 3.43

Result set for uncorrected energy: -92.42, -11.00 eV for the cell shown, one per record in the order listed.